[1]
Entry from Alexandria via LeMat-Bulk: a geometry-optimized BeCdHg2 structure (GGA-PBE).

a = 4.8861 Å, b = 4.8861 Å, c = 4.8861 Å
α = 60.00°, β = 60.00°, γ = 60.00°
Sites, in units of the cell vectors:
Hg 0.2500 0.2500 0.2500
Hg 0.0000 0.0000 0.0000
Be 0.5000 0.5000 0.5000
Cd 0.7500 0.7500 0.7500

Output
space group = F-43m (216)
formation enthalpy at 0 K = 0.514 eV/atom
N(E_F) = 0.44 states/eV per atom
ρ = 10.5 g cm⁻³
magnetization = 0.00 μB per atom


[2]
Entry from Alexandria via LeMat-Bulk: a geometry-optimized Mg3H2Ir3 structure (GGA-PBE).

a = 4.5125 Å, b = 5.5623 Å, c = 4.5159 Å
α = 91.01°, β = 60.02°, γ = 90.00°
Sites, in units of the cell vectors:
Mg 0.2411 0.9190 0.8703
Mg 0.9118 0.2549 0.5285
Mg 0.5833 0.5906 0.1861
Ir 0.5635 0.0662 0.2253
Ir 0.9121 0.7548 0.5282
Ir 0.2605 0.4434 0.8313
H 0.4111 0.2552 0.0295
H 0.9123 0.2545 0.0278

Output
space group = C2 (5)
N(E_F) = 0.23 states/eV per atom
ρ = 11.0 g cm⁻³
magnetization = 0.00 μB per atom
total energy = -5.054 eV per atom


[3]
Entry from Alexandria via LeMat-Bulk: a geometry-optimized ErVRh2 structure (GGA-PBE).

a = 4.5683 Å, b = 4.5683 Å, c = 4.5683 Å
α = 60.00°, β = 60.00°, γ = 60.00°
Last column: magnetic moment on the atom in μB.
Sites, in units of the cell vectors:
Er 0.5000 0.5000 0.5000  -0.05
V 0.0000 0.0000 0.0000  1.68
Rh 0.7500 0.7500 0.7500  0.16
Rh 0.2500 0.2500 0.2500  0.16

Output
space group = Fm-3m (225)
formation enthalpy at 0 K = -0.427 eV/atom
N(E_F) = 1.57 states/eV per atom
ρ = 10.4 g cm⁻³
magnetization = 0.54 μB per atom


[4]
Entry from Alexandria via LeMat-Bulk: a geometry-optimized ScTl2Fe structure (GGA-PBE).

a = 4.7779 Å, b = 4.7779 Å, c = 4.7779 Å
α = 60.00°, β = 60.00°, γ = 60.00°
Sites, in units of the cell vectors:
Tl 0.7500 0.7500 0.7500
Tl 0.2500 0.2500 0.2500
Fe 0.5000 0.5000 0.5000
Sc 0.0000 0.0000 0.0000

Output
space group = Fm-3m (225)
formation enthalpy at 0 K = 0.299 eV/atom
N(E_F) = 0.83 states/eV per atom
ρ = 11.0 g cm⁻³
magnetization = 0.00 μB per atom


[5]
Entry from Alexandria via LeMat-Bulk: a geometry-optimized LiPmPrTe3 structure (GGA-PBE).

a = 4.3308 Å, b = 9.1745 Å, c = 9.6314 Å
α = 103.25°, β = 90.00°, γ = 90.00°
Sites, in units of the cell vectors:
Te 0.2500 0.0895 0.8745
Te 0.7500 0.9105 0.1255
Te 0.7500 0.2255 0.4981
Te 0.2500 0.5729 0.8213
Te 0.2500 0.7745 0.5019
Te 0.7500 0.4271 0.1787
Li 0.2500 0.0846 0.5858
Li 0.7500 0.9154 0.4142
Pr 0.2500 0.1864 0.2300
Pr 0.7500 0.8136 0.7700
Pm 0.2500 0.6666 0.1602
Pm 0.7500 0.3334 0.8398

Output
space group = P2_1/m (11)
formation energy from raw total energies = -1.315 eV/atom
N(E_F) = 0.46 states/eV per atom
ρ = 6.0 g cm⁻³
magnetization = 0.00 μB per atom


[6]
Entry from Alexandria via LeMat-Bulk: a geometry-optimized Y2ThCd2In2 structure (GGA-PBE).

a = 4.9606 Å, b = 4.9606 Å, c = 9.5717 Å
α = 74.98°, β = 74.98°, γ = 60.00°
Sites, in units of the cell vectors:
Cd 0.3985 0.3985 0.8045
Cd 0.6015 0.6015 0.1955
In 0.7430 0.7430 0.7710
In 0.2570 0.2570 0.2290
Th 0.0000 0.0000 0.0000
Y 0.1285 0.1285 0.6145
Y 0.8715 0.8715 0.3855

Output
space group = R-3m (166)
formation enthalpy at 0 K = -0.194 eV/atom
N(E_F) = 0.77 states/eV per atom
ρ = 7.4 g cm⁻³
magnetization = 0.00 μB per atom


[7]
Entry from Alexandria via LeMat-Bulk: a geometry-optimized HgTe2Se structure (GGA-PBE).

a = 7.6585 Å, b = 7.6585 Å, c = 7.6585 Å
α = 32.72°, β = 32.72°, γ = 32.72°
Sites, in units of the cell vectors:
Se 0.7460 0.7460 0.7460
Hg 0.4943 0.4943 0.4943
Te 0.2546 0.2546 0.2546
Te 0.0051 0.0051 0.0051

Output
space group = R3m (160)
formation energy from raw total energies = 0.006 eV/atom
N(E_F) = 0.06 states/eV per atom
ρ = 7.6 g cm⁻³
magnetization = 0.00 μB per atom


[8]
Entry from Alexandria via LeMat-Bulk: a geometry-optimized AlZn6Au12 structure (GGA-PBE).

a = 7.2252 Å, b = 7.2252 Å, c = 7.2252 Å
α = 100.58°, β = 100.58°, γ = 100.58°
Sites, in units of the cell vectors:
Au 0.9939 0.8746 0.3173
Au 0.8264 0.4937 0.3597
Au 0.6827 0.0061 0.1254
Au 0.6403 0.1736 0.5063
Au 0.8746 0.3173 0.9939
Au 0.3173 0.9939 0.8746
Au 0.3597 0.8264 0.4937
Au 0.1736 0.5063 0.6403
Au 0.4937 0.3597 0.8264
Au 0.5063 0.6403 0.1736
Au 0.0061 0.1254 0.6827
Au 0.1254 0.6827 0.0061
Zn 0.2720 0.1879 0.4607
Zn 0.1879 0.4607 0.2720
Zn 0.5393 0.7280 0.8121
Zn 0.7280 0.8121 0.5393
Zn 0.8121 0.5393 0.7280
Zn 0.4607 0.2720 0.1879
Al 0.0000 0.0000 0.0000

Output
space group = R-3 (148)
formation enthalpy at 0 K = -0.104 eV/atom
N(E_F) = 0.31 states/eV per atom
ρ = 13.0 g cm⁻³
magnetization = 0.00 μB per atom